(1)
HoCd11Pd: optimized geometry, GGA-PBE.

a = 5.764 Å, b = 7.582 Å, c = 7.635 Å
α = 81.67°, β = 67.82°, γ = 67.44°
Sites, in units of the cell vectors:
Ho1 0.000 0.000 0.000
Cd1 0.299 0.213 0.207
Cd2 0.701 0.787 0.793
Cd3 0.494 0.787 0.207
Cd4 0.506 0.213 0.793
Cd5 0.359 0.645 0.660
Cd6 0.641 0.355 0.340
Cd7 0.981 0.355 0.660
Cd8 0.019 0.645 0.340
Cd9 0.000 0.500 0.000
Cd10 0.500 0.000 0.500
Cd11 0.000 0.000 0.500
Pd1 0.500 0.500 0.000

Results
As for the formation energy: -0.137 eV per atom. Its final energy is -1.66 eV/atom. Its space-group type is C2/m (12). The crystal system is monoclinic.



(2)
HoCd4Pd5: optimized geometry, GGA-PBE.

a = 3.457 Å, b = 3.457 Å, c = 15.293 Å
α = 90.00°, β = 90.00°, γ = 90.00°
Sites, in units of the cell vectors:
Ho1 0.000 0.000 0.000
Cd1 0.000 0.000 0.208
Cd2 0.000 0.000 0.402
Cd3 0.000 0.000 0.598
Cd4 0.000 0.000 0.792
Pd1 0.500 0.500 0.105
Pd2 0.500 0.500 0.303
Pd3 0.500 0.500 0.500
Pd4 0.500 0.500 0.697
Pd5 0.500 0.500 0.895

Results
As for the formation energy: -0.511 eV per atom. Its final energy is -3.93 eV/atom. Its space-group type is P4/mmm (123). The crystal system is tetragonal.



(3)
HoCdPd: optimized geometry, GGA-PBE.

a = 3.665 Å, b = 3.665 Å, c = 5.402 Å
α = 109.83°, β = 109.83°, γ = 90.00°
Sites, in units of the cell vectors:
Ho1 0.939 0.939 0.878
Pd1 0.287 0.287 0.574
Cd1 0.624 0.624 0.248

Results
As for the formation energy: -0.629 eV per atom. Its final energy is -4.19 eV/atom. Its space-group type is I4mm (107). The crystal system is tetragonal.



(4)
Ho3CdPd3: optimized geometry, GGA-PBE.

a = 5.091 Å, b = 8.343 Å, c = 8.343 Å
α = 120.00°, β = 90.00°, γ = 90.00°
Sites, in units of the cell vectors:
Ho1 0.750 0.671 0.586
Ho2 0.750 0.414 0.085
Ho3 0.750 0.915 0.329
Ho4 0.250 0.329 0.414
Ho5 0.250 0.586 0.915
Ho6 0.250 0.085 0.671
Cd1 0.250 0.667 0.333
Cd2 0.750 0.333 0.667
Pd1 0.250 0.822 0.778
Pd2 0.250 0.222 0.044
Pd3 0.250 0.956 0.178
Pd4 0.750 0.178 0.222
Pd5 0.750 0.778 0.956
Pd6 0.750 0.044 0.822

Results
As for the formation energy: -0.639 eV per atom. Its final energy is -4.96 eV/atom. Its space-group type is P6_3/m (176). The crystal system is hexagonal.



(5)
Ho6CdPd5: optimized geometry, GGA-PBE.

a = 4.983 Å, b = 7.092 Å, c = 7.874 Å
α = 90.00°, β = 108.61°, γ = 90.00°
Sites, in units of the cell vectors:
Ho1 0.829 0.746 0.658
Ho2 0.829 0.254 0.658
Ho3 0.500 0.261 0.000
Ho4 0.500 0.739 0.000
Ho5 0.171 0.746 0.342
Ho6 0.171 0.254 0.342
Pd1 0.666 0.500 0.334
Pd2 0.342 0.000 0.682
Pd3 0.000 0.500 0.000
Pd4 0.658 0.000 0.318
Pd5 0.334 0.500 0.666
Cd1 0.000 0.000 0.000

Results
As for the formation energy: -0.788 eV per atom. Its final energy is -5.32 eV/atom. Its space-group type is P2/m (10). The crystal system is monoclinic.



(6)
Ho6Cd2Pd: optimized geometry, GGA-PBE.

a = 6.786 Å, b = 7.346 Å, c = 10.443 Å
α = 89.99°, β = 87.80°, γ = 90.01°
Sites, in units of the cell vectors:
Ho1 0.881 0.995 0.245
Ho2 0.813 0.674 0.543
Ho3 0.842 0.698 0.960
Ho4 0.658 0.198 0.540
Ho5 0.687 0.174 0.957
Ho6 0.618 0.495 0.255
Ho7 0.119 0.005 0.755
Ho8 0.187 0.326 0.457
Ho9 0.158 0.302 0.040
Ho10 0.342 0.802 0.460
Ho11 0.313 0.826 0.043
Ho12 0.382 0.505 0.745
Cd1 0.936 0.399 0.748
Cd2 0.564 0.899 0.752
Cd3 0.436 0.101 0.248
Cd4 0.064 0.601 0.252
Pd1 0.500 0.500 0.000
Pd2 0.000 0.000 0.500

Results
As for the formation energy: -0.199 eV per atom. Its final energy is -4.03 eV/atom. Its space-group type is P2_1/c (14). The crystal system is monoclinic.



Q: Which of these has the lowest formation energy?
A: Ho6CdPd5



Q: Look up the final energy of the fifth one.
A: -5.32 eV/atom